# PrUPt

A relaxed PrUPt crystal (GGA-PBE, Alexandria via LeMat-Bulk).

ΔE_f (eV/atom): -0.12
DOS(E_F) (states/eV/f.u.): 8.48

```
data_PrUPt
_symmetry_space_group_name_H-M 'F d d d'
_symmetry_Int_Tables_number 70
_cell_length_a 7.356
_cell_length_b 12.493
_cell_length_c 15.276
_cell_angle_alpha 90.00
_cell_angle_beta 90.00
_cell_angle_gamma 90.00
loop_
_symmetry_equiv_pos_as_xyz
'x,y,z'
'-x,-y,-z'
'-x+1/4,-y+1/4,z'
'x+1/4,y+1/4,-z'
'x,-y+1/4,-z+1/4'
'-x,y+1/4,z+1/4'
'-x+1/4,y,-z+1/4'
'x+1/4,-y,z+1/4'
'x,y+1/2,z+1/2'
'-x,-y+1/2,-z+1/2'
'-x+1/4,-y+3/4,z+1/2'
'x+1/4,y+3/4,-z+1/2'
'x,-y+3/4,-z+3/4'
'-x,y+3/4,z+3/4'
'-x+1/4,y+1/2,-z+3/4'
'x+1/4,-y+1/2,z+3/4'
'x+1/2,y,z+1/2'
'-x+1/2,-y,-z+1/2'
'-x+3/4,-y+1/4,z+1/2'
'x+3/4,y+1/4,-z+1/2'
'x+1/2,-y+1/4,-z+3/4'
'-x+1/2,y+1/4,z+3/4'
'-x+3/4,y,-z+3/4'
'x+3/4,-y,z+3/4'
'x+1/2,y+1/2,z'
'-x+1/2,-y+1/2,-z'
'-x+3/4,-y+3/4,z'
'x+3/4,y+3/4,-z'
'x+1/2,-y+3/4,-z+1/4'
'-x+1/2,y+3/4,z+1/4'
'-x+3/4,y+1/2,-z+1/4'
'x+3/4,-y+1/2,z+1/4'
loop_
_atom_site_label
_atom_site_fract_x
_atom_site_fract_y
_atom_site_fract_z
_atom_site_occupancy
Pr1 0.125 0.125 0.009 1
U1 0.125 0.125 0.496 1
Pt1 0.125 0.288 0.625 1
```